Entry 1:
A plane-wave DFT calculation with GGA-PBE was carried out for a geometry-optimized CuAsCBr2 structure.

Cell: 5.002 5.002 4.709 Å, 90.00 90.00 90.00°
Space group P4/mmm (No. 123)
Inequivalent atoms, fractional coordinates:
Cu 0.000 0.000 0.000 [1 per cell]
As 0.000 0.000 0.500 [1 per cell]
C 0.500 0.500 0.500 [1 per cell]
Br 0.000 0.500 0.000 [2 per cell]

Properties
Distance to the lowest polymorph of the same formula: 333.2 meV per atom

Entry 2:
A plane-wave DFT calculation with GGA-PBE was carried out for a geometry-optimized Cu2AsCBr structure.

Cell: 4.837 4.837 3.832 Å, 90.00 90.00 90.00°
Space group P4/mmm (No. 123)
Inequivalent atoms, fractional coordinates:
Cu 0.000 0.500 0.000 [2 per cell]
As 0.000 0.000 0.000 [1 per cell]
C 0.000 0.000 0.500 [1 per cell]
Br 0.500 0.500 0.500 [1 per cell]

Properties
E_tot: -3.662 eV per atom

Entry 3:
A plane-wave DFT calculation with GGA-PBE was carried out for a geometry-optimized CuAs2CBr structure.

Cell: 4.263 4.263 5.047 Å, 90.00 90.00 90.00°
Space group P4/mmm (No. 123)
Inequivalent atoms, fractional coordinates:
Cu 0.000 0.000 0.000 [1 per cell]
As 0.000 0.500 0.500 [2 per cell]
C 0.500 0.500 0.500 [1 per cell]
Br 0.500 0.500 0.000 [1 per cell]

Properties
Distance to the lowest polymorph of the same formula: 0.0 meV per atom

Entry 4:
A plane-wave DFT calculation with GGA-PBE was carried out for a geometry-optimized CuAs2CBr structure.

Cell: 4.687 4.687 4.961 Å, 90.00 90.00 90.00°
Space group P4/mmm (No. 123)
Inequivalent atoms, fractional coordinates:
Cu 0.000 0.000 0.000 [1 per cell]
As 0.000 0.500 0.000 [2 per cell]
C 0.500 0.500 0.500 [1 per cell]
Br 0.000 0.000 0.500 [1 per cell]

Properties
Distance to the lowest polymorph of the same formula: 519.9 meV per atom

Entry 5:
A plane-wave DFT calculation with GGA-PBE was carried out for a geometry-optimized AsCBr2F structure.

Cell: 5.582 5.582 3.840 Å, 90.00 90.00 90.00°
Space group P4/mmm (No. 123)
Inequivalent atoms, fractional coordinates:
As 0.000 0.000 0.000 [1 per cell]
C 0.500 0.500 0.000 [1 per cell]
Br 0.000 0.500 0.500 [2 per cell]
F 0.000 0.000 0.500 [1 per cell]

Properties
Distance to the lowest polymorph of the same formula: 464.3 meV per atom

Entry 6:
A plane-wave DFT calculation with GGA-PBE was carried out for a geometry-optimized AsCBr2F structure.

Cell: 4.637 4.637 4.287 Å, 90.00 90.00 90.00°
Space group P4/mmm (No. 123)
Inequivalent atoms, fractional coordinates:
As 0.000 0.000 0.000 [1 per cell]
C 0.000 0.000 0.500 [1 per cell]
Br 0.000 0.500 0.500 [2 per cell]
F 0.500 0.500 0.000 [1 per cell]

Properties
Distance to the lowest polymorph of the same formula: 0.0 meV per atom

Entry 7:
A plane-wave DFT calculation with GGA-PBE was carried out for a geometry-optimized FeAs2CBr structure.

Cell: 4.423 4.423 5.221 Å, 90.00 90.00 90.00°
Space group P4/mmm (No. 123)
Inequivalent atoms, fractional coordinates:
Fe 0.000 0.000 0.000 [1 per cell]
As 0.000 0.500 0.000 [2 per cell]
C 0.500 0.500 0.500 [1 per cell]
Br 0.000 0.000 0.500 [1 per cell]

Properties
Distance to the lowest polymorph of the same formula: 33.1 meV per atom

Entry 8:
A plane-wave DFT calculation with GGA-PBE was carried out for a geometry-optimized FeAs2CBr structure.

Cell: 4.223 4.223 4.509 Å, 90.00 90.00 90.00°
Space group P4/mmm (No. 123)
Inequivalent atoms, fractional coordinates:
Fe 0.000 0.000 0.000 [1 per cell]
As 0.000 0.500 0.500 [2 per cell]
C 0.500 0.500 0.500 [1 per cell]
Br 0.500 0.500 0.000 [1 per cell]

Properties
Distance to the lowest polymorph of the same formula: 0.0 meV per atom

Entry 9:
A plane-wave DFT calculation with GGA-PBE was carried out for a geometry-optimized GaAs2CBr structure.

Cell: 4.160 4.160 7.758 Å, 90.00 90.00 90.00°
Space group P4/mmm (No. 123)
Inequivalent atoms, fractional coordinates:
Ga 0.000 0.000 0.000 [1 per cell]
As 0.000 0.500 0.500 [2 per cell]
C 0.500 0.500 0.500 [1 per cell]
Br 0.500 0.500 0.000 [1 per cell]

Properties
Distance to the lowest polymorph of the same formula: 0.0 meV per atom

Entry 10:
A plane-wave DFT calculation with GGA-PBE was carried out for a geometry-optimized GaAs2CBr structure.

Cell: 4.988 4.988 5.086 Å, 90.00 90.00 90.00°
Space group P4/mmm (No. 123)
Inequivalent atoms, fractional coordinates:
Ga 0.000 0.000 0.000 [1 per cell]
As 0.000 0.500 0.000 [2 per cell]
C 0.500 0.500 0.500 [1 per cell]
Br 0.000 0.000 0.500 [1 per cell]

Properties
Distance to the lowest polymorph of the same formula: 938.2 meV per atom

Entry 11:
A plane-wave DFT calculation with GGA-PBE was carried out for a geometry-optimized GeAsCBr2 structure.

Cell: 5.281 5.281 5.238 Å, 90.00 90.00 90.00°
Space group P4/mmm (No. 123)
Inequivalent atoms, fractional coordinates:
Ge 0.000 0.000 0.000 [1 per cell]
As 0.000 0.000 0.500 [1 per cell]
C 0.500 0.500 0.500 [1 per cell]
Br 0.000 0.500 0.000 [2 per cell]

Properties
Distance to the lowest polymorph of the same formula: 523.9 meV per atom

Entry 12:
A plane-wave DFT calculation with GGA-PBE was carried out for a geometry-optimized GeAsCBr2 structure.

Cell: 4.736 4.736 4.451 Å, 90.00 90.00 90.00°
Space group P4/mmm (No. 123)
Inequivalent atoms, fractional coordinates:
Ge 0.000 0.000 0.000 [1 per cell]
As 0.500 0.500 0.000 [1 per cell]
C 0.500 0.500 0.500 [1 per cell]
Br 0.000 0.500 0.500 [2 per cell]

Properties
Distance to the lowest polymorph of the same formula: 0.0 meV per atom